Pm6NdEr4: optimized geometry, PBE.

Output
N(E_F): 76.515 states/eV per cell
Energy above the lowest structure with this stoichiometry: 0.000 eV per atom
E_tot: -4.57 eV/atom
Energy of formation from the pure elements: 1.244 eV/f.u.

a b c (Å): 5.842 9.684 25.863
angles (deg): 90.00 90.00 90.00
Space group Cmcm (No. 63)
Unique sites:
Pm1 0.000 0.000 0.000 [4 per cell]
Pm2 0.000 0.048 0.250 [4 per cell]
Pm3 0.000 0.300 0.599 [8 per cell]
Pm4 0.000 0.376 0.181 [8 per cell]
Nd1 0.000 0.290 0.750 [4 per cell]
Er1 0.000 0.043 0.123 [8 per cell]
Er2 0.000 0.349 0.044 [8 per cell]

***

Pm4NdEr2: optimized geometry, PBE.

Output
N(E_F): 45.553 states/eV per cell
Energy above the lowest structure with this stoichiometry: 0.202 eV per atom
E_tot: -4.44 eV/atom
Energy of formation from the pure elements: 1.824 eV/f.u.

a b c (Å): 6.848 11.472 12.159
angles (deg): 90.00 90.00 90.00
Space group Imma (No. 74)
Unique sites:
Pm1 0.000 0.001 0.147 [8 per cell]
Pm2 0.222 0.250 0.990 [8 per cell]
Nd1 0.250 0.250 0.250 [4 per cell]
Er1 0.000 0.000 0.500 [4 per cell]
Er2 0.000 0.250 0.720 [4 per cell]

***

Pm7NdEr3: optimized geometry, PBE.

Output
N(E_F): 30.029 states/eV per cell
Energy above the lowest structure with this stoichiometry: 0.038 eV per atom
E_tot: -4.47 eV/atom
Energy of formation from the pure elements: 2.499 eV/f.u.

a b c (Å): 11.761 10.146 6.425
angles (deg): 90.00 96.00 90.00
Space group C2/m (No. 12)
Unique sites:
Pm1 0.000 0.000 0.000 [2 per cell]
Pm2 0.235 0.500 0.213 [4 per cell]
Pm3 0.248 0.325 0.740 [8 per cell]
Nd1 0.000 0.000 0.500 [2 per cell]
Er1 0.000 0.331 0.000 [4 per cell]
Er2 0.000 0.500 0.500 [2 per cell]

***

Pm3Nd2Er3: optimized geometry, PBE.

Output
N(E_F): 24.138 states/eV per cell
Energy above the lowest structure with this stoichiometry: 0.000 eV per atom
E_tot: -4.67 eV/atom
Energy of formation from the pure elements: 0.152 eV/f.u.

a b c (Å): 5.090 5.107 20.353
angles (deg): 90.00 90.00 90.00
Space group Immm (No. 71)
Unique sites:
Pm1 0.000 0.000 0.000 [2 per cell]
Pm2 0.000 0.500 0.123 [4 per cell]
Nd1 0.000 0.000 0.250 [4 per cell]
Er1 0.000 0.000 0.500 [2 per cell]
Er2 0.000 0.500 0.376 [4 per cell]

***

PmNd6Er2: optimized geometry, PBE.

Output
N(E_F): 13.764 states/eV per cell
Energy above the lowest structure with this stoichiometry: 0.000 eV per atom
E_tot: -4.70 eV/atom
Energy of formation from the pure elements: 0.157 eV/f.u.

a b c (Å): 3.645 8.918 9.621
angles (deg): 90.36 100.92 90.08
Space group P-1 (No. 2)
Unique sites:
Pm1 0.000 0.000 0.000 [1 per cell]
Nd1 0.109 0.664 0.218 [2 per cell]
Nd2 0.221 0.335 0.441 [2 per cell]
Nd3 0.334 0.001 0.669 [2 per cell]
Er1 0.445 0.667 0.890 [2 per cell]

***

Pm5Nd3Er4: optimized geometry, PBE.

Output
N(E_F): 38.508 states/eV per cell
Energy above the lowest structure with this stoichiometry: 0.202 eV per atom
E_tot: -4.47 eV/atom
Energy of formation from the pure elements: 2.613 eV/f.u.

a b c (Å): 9.747 5.865 15.127
angles (deg): 90.00 108.73 90.00
Space group C2/m (No. 12)
Unique sites:
Pm1 0.000 0.000 0.000 [2 per cell]
Pm2 0.169 0.000 0.500 [4 per cell]
Pm3 0.206 0.500 0.251 [4 per cell]
Nd1 0.000 0.500 0.000 [2 per cell]
Nd2 0.046 0.000 0.250 [4 per cell]
Er1 0.061 0.500 0.622 [4 per cell]
Er2 0.175 0.500 0.852 [4 per cell]